! NiSbO2 GGA+U relaxed; values from VASP
! SG   I-42d
! Total magnetization   1.000 μB per formula unit
! Final energy   -4.655 eV per atom
&SYSTEM
  ibrav = 0, nat = 8, ntyp = 3
/
ATOMIC_SPECIES
Ni 58.69 Ni.upf
Sb 121.76 Sb.upf
O 16.00 O.upf
ATOMIC_POSITIONS angstrom
Ni 0.0000 0.0000 0.0000
Ni 0.0000 2.5688 2.3345
Sb 2.5688 0.0000 2.3345
Sb 0.0000 0.0000 4.6690
O 3.8532 1.2252 -1.1672
O 1.2252 1.2844 1.1672
O -1.2844 1.3436 3.5017
O 1.3436 1.2844 5.8362
CELL_PARAMETERS angstrom
-2.5688 2.5688 4.6690
2.5688 -2.5688 4.6690
2.5688 2.5688 -4.6690